[1]
A relaxed structure of Sc2Te, computed with PBE.

Results
magnetization: 0.00 μB per cell
crystal system: cubic
formation energy without anion corrections: -0.4298 eV per atom
DFT total energy: -5.698 eV/atom
calculated density: 4.50 Mg/m³

abc: 6.8466 6.8466 6.8466
angles: 90.00 90.00 90.00
Space group Pa-3 (No. 205)
Inequivalent atoms, fractional coordinates:
Sc1 0.1417 0.1417 0.1417 (multiplicity 8)
Te1 0.0000 0.0000 0.5000 (multiplicity 4)

[2]
A relaxed structure of Pm4Pr5Y3, computed with PBE.

Results
energy of formation from the pure elements: 0.210 eV per atom
magnetization: 0.00 μB per cell
crystal system: monoclinic
DFT total energy: -4.981 eV/atom
calculated density: 6.05 Mg/m³

abc: 16.5518 6.0383 9.5309
angles: 90.00 116.63 90.00
Space group C2/m (No. 12)
Inequivalent atoms, fractional coordinates:
Pm1 0.0829 0.0000 0.4435 (multiplicity 4)
Pm2 0.2185 0.0000 0.8788 (multiplicity 4)
Pr1 0.0000 0.0000 0.0000 (multiplicity 2)
Pr2 0.0747 0.5000 0.7017 (multiplicity 4)
Pr3 0.1725 0.5000 0.3883 (multiplicity 4)
Y1 0.0000 0.5000 0.0000 (multiplicity 2)
Y2 0.2081 0.0000 0.2267 (multiplicity 4)

[3]
A relaxed structure of Cd2CoHg2, computed with PBE.

Results
energy of formation from the pure elements: 0.457 eV per atom
magnetization: 3.21 μB per cell
offset from the most stable computed form: 39 meV/atom
crystal system: tetragonal
DFT total energy: -1.451 eV/atom
calculated density: 10.27 Mg/m³

abc: 7.0275 7.0275 4.4850
angles: 90.00 90.00 90.00
Space group P4/mbm (No. 127)
Inequivalent atoms, fractional coordinates:
Cd1 0.1487 0.3513 0.0000 (multiplicity 4)
Co1 0.0000 0.0000 0.0000 (multiplicity 2)
Hg1 0.1672 0.6672 0.5000 (multiplicity 4)

[4]
A relaxed structure of Li2LaOsBr, computed with PBE.

Results
magnetization: 0.00 μB per cell
crystal system: tetragonal
formation energy without anion corrections: 0.2466 eV per atom
DFT total energy: -4.085 eV/atom
calculated density: 6.44 Mg/m³

abc: 4.4554 4.4554 5.4924
angles: 90.00 90.00 90.00
Space group P4/mmm (No. 123)
Inequivalent atoms, fractional coordinates:
Li1 0.0000 0.5000 0.0000 (multiplicity 2)
La1 0.0000 0.0000 0.5000 (multiplicity 1)
Os1 0.5000 0.5000 0.5000 (multiplicity 1)
Br1 0.5000 0.5000 0.0000 (multiplicity 1)

[5]
A relaxed structure of Te2SeCl, computed with PBE.

Results
magnetization: 0.00 μB per cell
offset from the most stable computed form: 318 meV/atom
crystal system: orthorhombic
formation energy without anion corrections: 0.1704 eV per atom
DFT total energy: -2.733 eV/atom
calculated density: 5.87 Mg/m³

abc: 3.8074 5.0584 10.8642
angles: 90.00 90.00 90.00
Space group Imm2 (No. 44)
Inequivalent atoms, fractional coordinates:
Te1 0.0000 0.0000 0.0000 (multiplicity 2)
Te2 0.0000 0.5000 0.2868 (multiplicity 2)
Se1 0.0000 0.0000 0.5812 (multiplicity 2)
Cl1 0.0000 0.5000 0.7912 (multiplicity 2)

[6]
A relaxed structure of InNi4Sn, computed with PBE.

Results
energy of formation from the pure elements: -0.029 eV per atom
magnetization: 0.00 μB per cell
offset from the most stable computed form: 0 meV/atom
crystal system: cubic
DFT total energy: -5.007 eV/atom
calculated density: 9.13 Mg/m³

abc: 6.9848 6.9848 6.9848
angles: 90.00 90.00 90.00
Space group F-43m (No. 216)
Inequivalent atoms, fractional coordinates:
In1 0.0000 0.0000 0.0000 (multiplicity 4)
Ni1 0.1250 0.1250 0.3750 (multiplicity 16)
Sn1 0.2500 0.2500 0.7500 (multiplicity 4)